A geometry-optimized PrHo2Ag2Pb2 structure, computed with PBE.

Output
Formation energy: -0.320 eV per atom
Size of the total moment: 0.0 μB/cell
Fermi-level density of states: 3.5 states/eV/f.u.
Energy: -87.89 eV/cell

a = 4.9549 Å, b = 4.9549 Å, c = 26.3851 Å
α = 90.00°, β = 90.00°, γ = 120.00°
Space group R-3m (No. 166, hexagonal axes)
Asymmetric unit:
1 Pr 0.0000 0.0000 0.0000 [3 per cell]
2 Ho 0.0000 0.0000 0.1347 [6 per cell]
3 Ag 0.0000 0.0000 0.4433 [6 per cell]
4 Pb 0.0000 0.0000 0.2643 [6 per cell]

A geometry-optimized PrHoAgPb structure, computed with PBE.

Output
Formation energy: -0.394 eV per atom
Size of the total moment: 2.7 μB/cell
Fermi-level density of states: 3.5 states/eV/f.u.
Energy: -69.97 eV/cell

a = 7.6061 Å, b = 7.6061 Å, c = 7.6061 Å
α = 90.00°, β = 90.00°, γ = 90.00°
Space group F-43m (No. 216)
Asymmetric unit:
1 Pr 0.0000 0.0000 0.0000 [4 per cell]
2 Ho 0.0000 0.0000 0.5000 [4 per cell]
3 Ag 0.2500 0.2500 0.7500 [4 per cell]
4 Pb 0.2500 0.2500 0.2500 [4 per cell]

A geometry-optimized HoAgPtPb structure, computed with PBE.

Output
Formation energy: -0.520 eV per atom
Size of the total moment: 0.0 μB/cell
Fermi-level density of states: 3.0 states/eV/f.u.
Energy: -77.04 eV/cell

a = 7.0108 Å, b = 7.0108 Å, c = 7.0108 Å
α = 90.00°, β = 90.00°, γ = 90.00°
Space group F-43m (No. 216)
Asymmetric unit:
1 Ho 0.0000 0.0000 0.0000 [4 per cell]
2 Ag 0.2500 0.2500 0.7500 [4 per cell]
3 Pt 0.2500 0.2500 0.2500 [4 per cell]
4 Pb 0.0000 0.0000 0.5000 [4 per cell]

A geometry-optimized HoAgRhPb structure, computed with PBE.

Output
Formation energy: -0.346 eV per atom
Size of the total moment: 0.0 μB/cell
Fermi-level density of states: 2.8 states/eV/f.u.
Energy: -79.50 eV/cell

a = 6.9162 Å, b = 6.9162 Å, c = 6.9162 Å
α = 90.00°, β = 90.00°, γ = 90.00°
Space group F-43m (No. 216)
Asymmetric unit:
1 Ho 0.0000 0.0000 0.0000 [4 per cell]
2 Ag 0.2500 0.2500 0.7500 [4 per cell]
3 Rh 0.2500 0.2500 0.2500 [4 per cell]
4 Pb 0.0000 0.0000 0.5000 [4 per cell]

A geometry-optimized HoAgPb2S4 structure, computed with PBE.

Output
Size of the total moment: 0.0 μB/cell
E_form (uncorrected): -670 kJ/mol of formula units
Energy: -38.30 eV/cell

a = 6.9927 Å, b = 4.0666 Å, c = 7.1833 Å
α = 90.00°, β = 109.33°, γ = 90.00°
Space group P2/m (No. 10)
Asymmetric unit:
1 Ho 0.0000 0.0000 0.0000 [1 per cell]
2 Ag 0.5000 0.5000 0.0000 [1 per cell]
3 Pb 0.0000 0.5000 0.5000 [1 per cell]
4 Pb 0.5000 0.0000 0.5000 [1 per cell]
5 S 0.2330 0.5000 0.2270 [2 per cell]
6 S 0.2515 0.0000 0.7741 [2 per cell]

A geometry-optimized HoAgPbS3 structure, computed with PBE.

Output
Size of the total moment: 0.0 μB/cell
E_form (uncorrected): -591 kJ/mol of formula units
Energy: -59.28 eV/cell

a = 8.2029 Å, b = 4.0186 Å, c = 8.8639 Å
α = 90.00°, β = 103.33°, γ = 90.00°
Space group P2_1/m (No. 11)
Asymmetric unit:
1 Ho 0.1733 0.2500 0.1661 [2 per cell]
2 Ag 0.4038 0.7500 0.4123 [2 per cell]
3 Pb 0.3018 0.7500 0.7650 [2 per cell]
4 S 0.0619 0.2500 0.8472 [2 per cell]
5 S 0.2423 0.2500 0.4857 [2 per cell]
6 S 0.3894 0.7500 0.1236 [2 per cell]

A geometry-optimized HoAgPbSe3 structure, computed with PBE.

Output
Size of the total moment: 0.0 μB/cell
E_form (uncorrected): -562 kJ/mol of formula units
Energy: -54.84 eV/cell

a = 8.4476 Å, b = 4.1463 Å, c = 9.2864 Å
α = 90.00°, β = 103.93°, γ = 90.00°
Space group P2_1/m (No. 11)
Asymmetric unit:
1 Ho 0.1755 0.2500 0.1675 [2 per cell]
2 Ag 0.4098 0.7500 0.4131 [2 per cell]
3 Pb 0.3038 0.7500 0.7577 [2 per cell]
4 Se 0.0648 0.2500 0.8470 [2 per cell]
5 Se 0.2377 0.2500 0.4864 [2 per cell]
6 Se 0.3978 0.7500 0.1249 [2 per cell]

A geometry-optimized HoAgSnPb structure, computed with PBE.

Output
Formation energy: -0.150 eV per atom
Size of the total moment: 0.0 μB/cell
Fermi-level density of states: 3.0 states/eV/f.u.
Energy: -62.96 eV/cell

a = 7.4849 Å, b = 7.4849 Å, c = 7.4849 Å
α = 90.00°, β = 90.00°, γ = 90.00°
Space group F-43m (No. 216)
Asymmetric unit:
1 Ho 0.0000 0.0000 0.0000 [4 per cell]
2 Ag 0.2500 0.2500 0.7500 [4 per cell]
3 Sn 0.2500 0.2500 0.2500 [4 per cell]
4 Pb 0.0000 0.0000 0.5000 [4 per cell]